*one*
First-principles (PBE) data for a geometry-optimized CuAg3Au4 structure, as listed in the Alexandria database.

- Density: 14.05 g/cm3
- Space group: C2/m, No. 12
- Total magnetization: 0.00 μB per formula unit
- DOS at the Fermi energy: 1.627 states/eV per cell

Unit cell a=4.173 b=4.173 c=8.486 alpha=104.03 beta=104.03 gamma=89.99
Atoms (fractional coordinates):
1 Cu 0.000 0.000 0.000
2 Ag 0.250 0.250 0.500
3 Ag 0.500 0.500 0.000
4 Ag 0.750 0.750 0.500
5 Au 0.120 0.620 0.240
6 Au 0.380 0.880 0.760
7 Au 0.620 0.120 0.240
8 Au 0.880 0.380 0.760


*two*
First-principles (PBE) data for a geometry-optimized CuAg3Au4 structure, as listed in the Alexandria database.

- Density: 12.80 g/cm3
- Space group: C2/m, No. 12
- Total magnetization: 0.00 μB per formula unit
- DOS at the Fermi energy: 2.501 states/eV per cell

Unit cell a=11.652 b=11.652 c=4.620 alpha=91.52 beta=91.52 gamma=14.07
Atoms (fractional coordinates):
1 Cu 0.000 0.000 0.000
2 Ag 0.288 0.288 0.246
3 Ag 0.500 0.500 0.500
4 Ag 0.712 0.712 0.754
5 Au 0.097 0.097 0.741
6 Au 0.166 0.166 0.249
7 Au 0.834 0.834 0.751
8 Au 0.903 0.903 0.259


It is *two* that is the least stable of them.


*one*
First-principles (PBE) data for a geometry-optimized CuAg6Au12 structure, as listed in the Alexandria database.

- Density: 15.06 g/cm3
- Space group: R-3, No. 148
- Total magnetization: 0.00 μB per formula unit
- DOS at the Fermi energy: 3.043 states/eV per cell

Unit cell a=7.748 b=7.748 c=7.748 alpha=110.82 beta=110.82 gamma=110.82
Atoms (fractional coordinates):
1 Cu 0.000 0.000 0.000
2 Ag 0.212 0.472 0.315
3 Ag 0.315 0.212 0.472
4 Ag 0.472 0.315 0.212
5 Ag 0.528 0.685 0.788
6 Ag 0.685 0.788 0.528
7 Ag 0.788 0.528 0.685
8 Au 0.050 0.366 0.577
9 Au 0.105 0.744 0.155
10 Au 0.155 0.105 0.744
11 Au 0.256 0.845 0.895
12 Au 0.366 0.577 0.050
13 Au 0.423 0.950 0.634
14 Au 0.577 0.050 0.366
15 Au 0.634 0.423 0.950
16 Au 0.744 0.155 0.105
17 Au 0.845 0.895 0.256
18 Au 0.895 0.256 0.845
19 Au 0.950 0.634 0.423


*two*
First-principles (PBE) data for a geometry-optimized CuAg6Au12 structure, as listed in the Alexandria database.

- Density: 14.66 g/cm3
- Space group: R-3, No. 148
- Total magnetization: 0.00 μB per formula unit
- DOS at the Fermi energy: 7.299 states/eV per cell

Unit cell a=7.036 b=7.036 c=7.036 alpha=91.23 beta=91.23 gamma=91.23
Atoms (fractional coordinates):
1 Cu 0.000 0.000 0.000
2 Ag 0.113 0.738 0.270
3 Ag 0.262 0.730 0.887
4 Ag 0.270 0.113 0.738
5 Ag 0.730 0.887 0.262
6 Ag 0.738 0.270 0.113
7 Ag 0.887 0.262 0.730
8 Au 0.043 0.146 0.367
9 Au 0.146 0.367 0.043
10 Au 0.200 0.472 0.556
11 Au 0.367 0.043 0.146
12 Au 0.444 0.800 0.528
13 Au 0.472 0.556 0.200
14 Au 0.528 0.444 0.800
15 Au 0.556 0.200 0.472
16 Au 0.633 0.957 0.854
17 Au 0.800 0.528 0.444
18 Au 0.854 0.633 0.957
19 Au 0.957 0.854 0.633


It is *two* that is the least stable of them.


*one*
First-principles (PBE) data for a geometry-optimized Cu5AgAu4 structure, as listed in the Alexandria database.

- Density: 13.36 g/cm3
- Space group: P4/mmm, No. 123
- Total magnetization: 0.00 μB per formula unit
- DOS at the Fermi energy: 3.061 states/eV per cell

Unit cell a=2.995 b=2.995 c=16.805 alpha=90.00 beta=90.00 gamma=90.00
Atoms (fractional coordinates):
1 Cu 0.000 0.000 0.000
2 Cu 0.000 0.000 0.200
3 Cu 0.000 0.000 0.399
4 Cu 0.000 0.000 0.601
5 Cu 0.000 0.000 0.800
6 Ag 0.500 0.500 0.500
7 Au 0.500 0.500 0.100
8 Au 0.500 0.500 0.301
9 Au 0.500 0.500 0.699
10 Au 0.500 0.500 0.900


*two*
First-principles (PBE) data for a geometry-optimized Cu5AgAu4 structure, as listed in the Alexandria database.

- Density: 13.36 g/cm3
- Space group: Pmmm, No. 47
- Total magnetization: 0.00 μB per formula unit
- DOS at the Fermi energy: 2.396 states/eV per cell

Unit cell a=2.826 b=3.688 c=14.471 alpha=90.00 beta=90.00 gamma=90.00
Atoms (fractional coordinates):
1 Cu 0.000 0.000 0.000
2 Cu 0.000 0.000 0.200
3 Cu 0.000 0.000 0.400
4 Cu 0.000 0.000 0.600
5 Cu 0.000 0.000 0.800
6 Ag 0.500 0.500 0.500
7 Au 0.500 0.500 0.100
8 Au 0.500 0.500 0.301
9 Au 0.500 0.500 0.699
10 Au 0.500 0.500 0.900


It is *one* that is the least stable of them.